Computed, not measured: LaNi2Ag2 after structural relaxation at the PBE-GGA level of DFT. Values from VASP.

Calculated values
The calculation puts the calculated formation energy at 0.01 eV per atom. The calculated total energy is -4.427 eV/atom. The magnetic moment is 0.00 μB/atom. As for the space group: P4/mbm, No. 127. Its energy above the most stable polymorph in this dataset is 166.6 meV/atom.

Structure (Quantum ESPRESSO input):
```
&SYSTEM
  ibrav = 0, nat = 10, ntyp = 3
/
ATOMIC_SPECIES
La 138.91 La.upf
Ni 58.69 Ni.upf
Ag 107.87 Ag.upf
CELL_PARAMETERS angstrom
7.390 0.000 0.000
0.000 7.390 0.000
0.000 0.000 3.259
ATOMIC_POSITIONS angstrom
La 0.000 0.000 0.000
La 3.695 3.695 0.000
Ni 1.142 2.553 0.000
Ni 2.553 6.248 0.000
Ni 4.837 1.142 0.000
Ni 6.248 4.837 0.000
Ag 1.025 4.720 1.630
Ag 2.670 1.025 1.630
Ag 4.720 6.364 1.630
Ag 6.364 2.670 1.630
```

Computed, not measured: Si2HgP after structural relaxation at the PBE-GGA level of DFT. Values from VASP.

Calculated values
As for the uncorrected formation energy: 709 meV per atom. The calculated total energy is -3.431 eV/atom. The magnetic moment is 0.00 μB/atom. As for the space group: I-4m2, No. 119. Its energy above the most stable polymorph in this dataset is 454.4 meV/atom.

Structure (Quantum ESPRESSO input):
```
&SYSTEM
  ibrav = 0, nat = 4, ntyp = 3
/
ATOMIC_SPECIES
Si 28.09 Si.upf
Hg 200.59 Hg.upf
P 30.97 P.upf
CELL_PARAMETERS angstrom
-1.902 1.902 5.090
1.902 -1.902 5.090
1.902 1.902 -5.090
ATOMIC_POSITIONS angstrom
Si 0.000 0.000 0.000
Si 0.000 1.902 2.545
Hg 1.902 0.000 2.545
P 0.000 0.000 5.090
```

Computed, not measured: Tm3NiPb2 after structural relaxation at the PBE-GGA level of DFT. Values from VASP.

Calculated values
The calculation puts the calculated formation energy at -0.45 eV per atom. The calculated total energy is -4.887 eV/atom. The magnetic moment is 0.00 μB/atom. As for the space group: Pnma, No. 62.

Structure (Quantum ESPRESSO input):
```
&SYSTEM
  ibrav = 0, nat = 24, ntyp = 3
/
ATOMIC_SPECIES
Tm 168.93 Tm.upf
Ni 58.69 Ni.upf
Pb 207.20 Pb.upf
CELL_PARAMETERS angstrom
12.100 0.000 0.000
0.000 4.328 0.000
0.000 0.000 11.721
ATOMIC_POSITIONS angstrom
Tm 0.706 1.082 1.535
Tm 1.476 3.246 6.402
Tm 2.907 1.082 9.246
Tm 3.143 3.246 3.386
Tm 4.574 1.082 0.542
Tm 5.343 3.246 7.396
Tm 6.756 1.082 4.326
Tm 7.526 3.246 11.180
Tm 8.957 1.082 8.336
Tm 9.193 3.246 2.475
Tm 10.624 1.082 5.319
Tm 11.393 3.246 10.186
Ni 1.539 1.082 4.274
Ni 4.511 3.246 10.135
Ni 7.589 1.082 1.586
Ni 10.560 3.246 7.447
Pb 0.009 1.082 8.095
Pb 2.253 3.246 11.630
Pb 3.797 1.082 5.770
Pb 6.041 3.246 2.235
Pb 6.059 1.082 9.487
Pb 8.303 3.246 5.952
Pb 9.847 1.082 0.091
Pb 12.091 3.246 3.626
```